Entry 1:
LaMn2Rh | PBE | optimized geometry

abc: 2.786 3.914 6.283
angles: 90.00 97.10 90.00
Space group P2/m (No. 10)
One atom of each set of equivalent atoms:
La (0.000, 0.000, 0.000)
Mn (0.461, 0.500, 0.334)
Rh (0.000, 0.000, 0.500)

E_tot, eV per formula unit: -28.943

Entry 2:
LaMn2Rh | PBE | optimized geometry

abc: 3.996 4.068 4.610
angles: 90.00 90.00 90.00
Space group Pmmm (No. 47)
One atom of each set of equivalent atoms:
La (0.000, 0.000, 0.000)
Mn (0.000, 0.500, 0.500)
Mn (0.500, 0.000, 0.500)
Rh (0.500, 0.500, 0.000)

E_tot, eV per formula unit: -30.325

Entry 3:
LaMn2Rh | PBE | optimized geometry

abc: 6.322 6.322 6.322
angles: 90.00 90.00 90.00
Space group Fm-3m (No. 225)
One atom of each set of equivalent atoms:
La (0.000, 0.000, 0.000)
Mn (0.250, 0.250, 0.250)
Rh (0.000, 0.000, 0.500)

E_tot, eV per formula unit: -28.223

Entry 4:
LaMn4Rh | PBE | optimized geometry

abc: 7.226 7.226 7.226
angles: 90.00 90.00 90.00
Space group F-43m (No. 216)
One atom of each set of equivalent atoms:
La (0.000, 0.000, 0.000)
Mn (0.123, 0.123, 0.623)
Rh (0.250, 0.250, 0.250)

E_tot, eV per formula unit: -47.181